Entry 1:
## TbErAsO (GGA-PBE)

Data for TbErAsO after structural relaxation.

Results
For the magnetic moment, the calculation gives 0.02 μB/cell. The calculation puts the relative energy among the computed polymorphs at 24 meV per atom. The crystal system is orthorhombic. The space group is No. 26. The density is 7.6 g cm⁻³.

Lattice parameters (Å, degrees): 4.1148 7.6871 5.7952 90.00 90.00 90.00
Fractional positions:
Tb: 0.0000 0.1159 0.0000
Tb: 0.0000 0.8841 0.5000
Er: 0.5000 0.2881 0.4362
Er: 0.5000 0.7119 0.9362
As: 0.5000 0.3476 0.9273
As: 0.5000 0.6524 0.4273
O: 0.0000 0.1741 0.3821
O: 0.0000 0.8259 0.8821



Entry 2:
## Mg2BiOs (GGA-PBE)

Data for Mg2BiOs after structural relaxation.

Results
For the magnetic moment, the calculation gives 0.01 μB/cell. The crystal system is cubic. The space group is No. 216. The density is 9.6 g cm⁻³. The value obtained for the electronic total energy is -4.221 eV/atom.

Lattice parameters (Å, degrees): 4.7849 4.7849 4.7849 60.00 60.00 60.00
Fractional positions:
Mg: 0.0000 0.0000 0.0000
Mg: 0.2500 0.2500 0.2500
Bi: 0.5000 0.5000 0.5000
Os: 0.7500 0.7500 0.7500



Entry 3:
## TbZrW (GGA-PBE)

Data for TbZrW after structural relaxation.

Results
For the magnetic moment, the calculation gives 0.01 μB/cell. The calculation puts the relative energy among the computed polymorphs at 0 meV per atom. The crystal system is cubic. The space group is No. 216. The density is 9.7 g cm⁻³. The calculation puts the formation energy from the elements at 699 meV per atom.

Lattice parameters (Å, degrees): 4.7200 4.7200 4.7200 60.00 60.00 60.00
Fractional positions:
Tb: 0.0000 0.0000 0.0000
Zr: 0.5000 0.5000 0.5000
W: 0.2500 0.2500 0.2500